No. 1
Below is an optimized crystal structure of LaDyAg4, with properties calculated at the GGA-PBE level.

Lattice parameters (Å, degrees): 3.796 5.418 7.765 69.94 89.96 69.61
Positions (direct):
La1 0.000 0.000 0.000
Dy1 0.000 0.000 0.500
Ag1 0.328 0.344 0.653
Ag2 0.333 0.336 0.185
Ag3 0.667 0.664 0.815
Ag4 0.672 0.656 0.347

## Properties
Spin magnetization (μB per formula unit): 0.00
Formation energy from the elements (kcal/mol of atoms): -6.02
Energy above the lowest structure with this stoichiometry (kJ per mole of atoms): 0.0

No. 2
Below is an optimized crystal structure of LaDyAg, with properties calculated at the GGA-PBE level.

Lattice parameters (Å, degrees): 8.711 8.711 5.535 90.06 90.06 24.68
Positions (direct):
La1 0.079 0.079 0.248
La2 0.921 0.921 0.752
Dy1 0.228 0.228 0.750
Dy2 0.772 0.772 0.250
Ag1 0.413 0.413 0.252
Ag2 0.587 0.587 0.748

## Properties
Spin magnetization (μB per formula unit): 0.00
Formation energy from the elements (kcal/mol of atoms): -3.99
Energy above the lowest structure with this stoichiometry (kJ per mole of atoms): 0.0

No. 3
Below is an optimized crystal structure of LaDyAg2, with properties calculated at the GGA-PBE level.

Lattice parameters (Å, degrees): 3.679 3.679 7.642 90.00 90.00 90.00
Positions (direct):
La1 0.000 0.000 0.000
Dy1 0.000 0.000 0.500
Ag1 0.500 0.500 0.277
Ag2 0.500 0.500 0.723

## Properties
Spin magnetization (μB per formula unit): 0.01
Formation energy from the elements (kcal/mol of atoms): -6.78

No. 4
Below is an optimized crystal structure of LaDyLuAg, with properties calculated at the GGA-PBE level.

Lattice parameters (Å, degrees): 5.445 5.445 5.445 60.00 60.00 60.00
Positions (direct):
La1 0.000 0.000 0.000
Dy1 0.500 0.500 0.500
Lu1 0.750 0.750 0.750
Ag1 0.250 0.250 0.250

## Properties
Spin magnetization (μB per formula unit): 0.00
Formation energy from the elements (kcal/mol of atoms): 1.01

No. 5
Below is an optimized crystal structure of LaDyMg2Ag4, with properties calculated at the GGA-PBE level.

Lattice parameters (Å, degrees): 8.737 8.737 8.737 33.52 33.52 33.52
Positions (direct):
La1 0.000 0.000 0.000
Dy1 0.500 0.500 0.500
Mg1 0.248 0.248 0.248
Mg2 0.752 0.752 0.752
Ag1 0.129 0.129 0.129
Ag2 0.380 0.380 0.380
Ag3 0.620 0.620 0.620
Ag4 0.871 0.871 0.871

## Properties
Spin magnetization (μB per formula unit): 0.00
Formation energy from the elements (kcal/mol of atoms): -6.57

No. 6
Below is an optimized crystal structure of LaDy2MgAg4, with properties calculated at the GGA-PBE level.

Lattice parameters (Å, degrees): 9.017 9.017 9.017 32.81 32.81 32.81
Positions (direct):
La1 0.000 0.000 0.000
Dy1 0.243 0.243 0.243
Dy2 0.757 0.757 0.757
Mg1 0.500 0.500 0.500
Ag1 0.125 0.125 0.125
Ag2 0.387 0.387 0.387
Ag3 0.613 0.613 0.613
Ag4 0.875 0.875 0.875

## Properties
Spin magnetization (μB per formula unit): 0.00
Formation energy from the elements (kcal/mol of atoms): -5.88

No. 7
Below is an optimized crystal structure of LaDy2Ag2Pb2, with properties calculated at the GGA-PBE level.

Lattice parameters (Å, degrees): 9.333 9.333 9.333 30.88 30.88 30.88
Positions (direct):
La1 0.000 0.000 0.000
Dy1 0.135 0.135 0.135
Dy2 0.865 0.865 0.865
Ag1 0.443 0.443 0.443
Ag2 0.557 0.557 0.557
Pb1 0.264 0.264 0.264
Pb2 0.736 0.736 0.736

## Properties
Spin magnetization (μB per formula unit): 0.00
Formation energy from the elements (kcal/mol of atoms): -8.10

No. 8
Below is an optimized crystal structure of LaDyAgPb, with properties calculated at the GGA-PBE level.

Lattice parameters (Å, degrees): 5.425 5.425 5.425 60.00 60.00 60.00
Positions (direct):
La1 0.000 0.000 0.000
Dy1 0.500 0.500 0.500
Ag1 0.750 0.750 0.750
Pb1 0.250 0.250 0.250

## Properties
Spin magnetization (μB per formula unit): 0.73
Formation energy from the elements (kcal/mol of atoms): -9.51

No. 9
Below is an optimized crystal structure of LaPrDyAg, with properties calculated at the GGA-PBE level.

Lattice parameters (Å, degrees): 3.707 3.707 8.933 90.00 90.00 90.00
Positions (direct):
La1 0.000 0.000 0.000
Pr1 0.500 0.500 0.299
Dy1 0.000 0.000 0.581
Ag1 0.500 0.500 0.766

## Properties
Spin magnetization (μB per formula unit): 0.00
Formation energy from the elements (kcal/mol of atoms): -2.85
Energy above the lowest structure with this stoichiometry (kJ per mole of atoms): 0.0

No. 10
Below is an optimized crystal structure of LaPrDyAg, with properties calculated at the GGA-PBE level.

Lattice parameters (Å, degrees): 5.549 5.549 5.549 60.00 60.00 60.00
Positions (direct):
La1 0.000 0.000 0.000
Pr1 0.500 0.500 0.500
Dy1 0.750 0.750 0.750
Ag1 0.250 0.250 0.250

## Properties
Spin magnetization (μB per formula unit): 0.00
Formation energy from the elements (kcal/mol of atoms): 1.24
Energy above the lowest structure with this stoichiometry (kJ per mole of atoms): 17.1

No. 11
Below is an optimized crystal structure of La2Pr2DyAg5, with properties calculated at the GGA-PBE level.

Lattice parameters (Å, degrees): 11.184 11.184 4.319 90.00 90.00 90.00
Positions (direct):
La1 0.172 0.328 0.000
La2 0.328 0.828 0.000
La3 0.672 0.172 0.000
La4 0.828 0.672 0.000
Pr1 0.131 0.631 0.000
Pr2 0.369 0.131 0.000
Pr3 0.631 0.869 0.000
Pr4 0.869 0.369 0.000
Dy1 0.000 0.000 0.000
Dy2 0.500 0.500 0.000
Ag1 0.000 0.500 0.500
Ag2 0.064 0.819 0.500
Ag3 0.181 0.064 0.500
Ag4 0.319 0.564 0.500
Ag5 0.436 0.319 0.500
Ag6 0.500 0.000 0.500
Ag7 0.564 0.681 0.500
Ag8 0.681 0.436 0.500
Ag9 0.819 0.936 0.500
Ag10 0.936 0.181 0.500

## Properties
Spin magnetization (μB per formula unit): 0.00
Formation energy from the elements (kcal/mol of atoms): -2.72

No. 12
Below is an optimized crystal structure of LaDyScAg, with properties calculated at the GGA-PBE level.

Lattice parameters (Å, degrees): 5.377 5.377 5.377 60.00 60.00 60.00
Positions (direct):
La1 0.000 0.000 0.000
Dy1 0.500 0.500 0.500
Sc1 0.750 0.750 0.750
Ag1 0.250 0.250 0.250

## Properties
Spin magnetization (μB per formula unit): 0.00
Formation energy from the elements (kcal/mol of atoms): 0.99

No. 13
Below is an optimized crystal structure of LaDyAg2Se4, with properties calculated at the GGA-PBE level.

Lattice parameters (Å, degrees): 6.645 6.645 6.645 116.16 115.28 97.58
Positions (direct):
La1 0.000 0.000 0.000
Dy1 0.500 0.500 0.000
Ag1 0.337 0.837 0.500
Ag2 0.663 0.163 0.500
Se1 0.091 0.112 0.527
Se2 0.415 0.888 0.979
Se3 0.585 0.564 0.473
Se4 0.909 0.436 0.021

## Properties
Spin magnetization (μB per formula unit): 0.00
ΔE_f (raw) (eV per atom): -1.102

No. 14
Below is an optimized crystal structure of LaDySiAg, with properties calculated at the GGA-PBE level.

Lattice parameters (Å, degrees): 5.190 5.190 5.190 60.00 60.00 60.00
Positions (direct):
La1 0.000 0.000 0.000
Dy1 0.500 0.500 0.500
Si1 0.750 0.750 0.750
Ag1 0.250 0.250 0.250

## Properties
Spin magnetization (μB per formula unit): 0.00
ΔE_f (raw) (eV per atom): -0.424

No. 15
Below is an optimized crystal structure of LaSmDyAg, with properties calculated at the GGA-PBE level.

Lattice parameters (Å, degrees): 3.696 3.696 8.717 90.00 90.00 90.00
Positions (direct):
La1 0.000 0.000 0.000
Sm1 0.500 0.500 0.704
Dy1 0.500 0.500 0.291
Ag1 0.000 0.000 0.487

## Properties
Spin magnetization (μB per formula unit): 0.01
Formation energy from the elements (kcal/mol of atoms): -2.77
Energy above the lowest structure with this stoichiometry (kJ per mole of atoms): 0.0

No. 16
Below is an optimized crystal structure of La2Sm2DyAg5, with properties calculated at the GGA-PBE level.

Lattice parameters (Å, degrees): 11.146 11.146 4.255 90.00 90.00 90.00
Positions (direct):
La1 0.173 0.327 0.000
La2 0.327 0.827 0.000
La3 0.673 0.173 0.000
La4 0.827 0.673 0.000
Sm1 0.129 0.629 0.000
Sm2 0.371 0.129 0.000
Sm3 0.629 0.871 0.000
Sm4 0.871 0.371 0.000
Dy1 0.000 0.000 0.000
Dy2 0.500 0.500 0.000
Ag1 0.000 0.500 0.500
Ag2 0.060 0.815 0.500
Ag3 0.185 0.060 0.500
Ag4 0.315 0.560 0.500
Ag5 0.440 0.315 0.500
Ag6 0.500 0.000 0.500
Ag7 0.560 0.685 0.500
Ag8 0.685 0.440 0.500
Ag9 0.815 0.940 0.500
Ag10 0.940 0.185 0.500

## Properties
Spin magnetization (μB per formula unit): 0.00
Formation energy from the elements (kcal/mol of atoms): -3.08

No. 17
Below is an optimized crystal structure of LaSmDyAg, with properties calculated at the GGA-PBE level.

Lattice parameters (Å, degrees): 5.510 5.510 5.510 60.00 60.00 60.00
Positions (direct):
La1 0.000 0.000 0.000
Sm1 0.500 0.500 0.500
Dy1 0.750 0.750 0.750
Ag1 0.250 0.250 0.250

## Properties
Spin magnetization (μB per formula unit): 0.00
Formation energy from the elements (kcal/mol of atoms): 1.37
Energy above the lowest structure with this stoichiometry (kJ per mole of atoms): 17.3

No. 18
Below is an optimized crystal structure of LaDyAg2Te4, with properties calculated at the GGA-PBE level.

Lattice parameters (Å, degrees): 6.931 6.931 6.931 113.51 112.32 102.78
Positions (direct):
La1 0.000 0.000 0.000
Dy1 0.500 0.500 0.000
Ag1 0.338 0.838 0.500
Ag2 0.662 0.162 0.500
Te1 0.078 0.086 0.533
Te2 0.447 0.914 0.992
Te3 0.553 0.545 0.467
Te4 0.922 0.455 0.008

## Properties
Spin magnetization (μB per formula unit): 0.00
ΔE_f (raw) (eV per atom): -0.789

No. 19
Below is an optimized crystal structure of La2DyAgTe5, with properties calculated at the GGA-PBE level.

Lattice parameters (Å, degrees): 9.800 9.800 13.353 90.00 90.00 153.74
Positions (direct):
La1 0.112 0.888 0.500
La2 0.124 0.876 0.121
La3 0.876 0.124 0.621
La4 0.888 0.112 0.000
Dy1 0.193 0.807 0.823
Dy2 0.807 0.193 0.323
Ag1 0.432 0.568 0.271
Ag2 0.568 0.432 0.771
Te1 0.043 0.957 0.886
Te2 0.288 0.712 0.481
Te3 0.305 0.695 0.157
Te4 0.356 0.644 0.814
Te5 0.499 0.501 0.589
Te6 0.501 0.499 0.089
Te7 0.644 0.356 0.314
Te8 0.695 0.305 0.657
Te9 0.712 0.288 0.981
Te10 0.957 0.043 0.386

## Properties
Spin magnetization (μB per formula unit): 0.00
ΔE_f (raw) (eV per atom): -1.290

No. 20
Below is an optimized crystal structure of LaDyThAg, with properties calculated at the GGA-PBE level.

Lattice parameters (Å, degrees): 3.661 3.661 8.704 90.00 90.00 90.00
Positions (direct):
La1 0.000 0.000 0.000
Dy1 0.000 0.000 0.445
Th1 0.500 0.500 0.716
Ag1 0.500 0.500 0.245

## Properties
Spin magnetization (μB per formula unit): 0.00
Formation energy from the elements (kcal/mol of atoms): -3.13

No. 21
Below is an optimized crystal structure of LaDyYAg, with properties calculated at the GGA-PBE level.

Lattice parameters (Å, degrees): 3.663 3.663 8.755 90.00 90.00 90.00
Positions (direct):
La1 0.000 0.000 0.000
Dy1 0.500 0.500 0.706
Y1 0.500 0.500 0.299
Ag1 0.000 0.000 0.505

## Properties
Spin magnetization (μB per formula unit): 0.01
Formation energy from the elements (kcal/mol of atoms): -2.96

No. 22
Below is an optimized crystal structure of LaDyZnAg, with properties calculated at the GGA-PBE level.

Lattice parameters (Å, degrees): 5.245 5.245 5.245 60.00 60.00 60.00
Positions (direct):
La1 0.000 0.000 0.000
Dy1 0.500 0.500 0.500
Zn1 0.750 0.750 0.750
Ag1 0.250 0.250 0.250

## Properties
Spin magnetization (μB per formula unit): 0.00
Formation energy from the elements (kcal/mol of atoms): -6.58
Energy above the lowest structure with this stoichiometry (kJ per mole of atoms): 2.3

No. 23
Below is an optimized crystal structure of LaDyZnAg, with properties calculated at the GGA-PBE level.

Lattice parameters (Å, degrees): 3.674 3.674 7.481 90.00 90.00 90.00
Positions (direct):
La1 0.000 0.000 0.000
Dy1 0.000 0.000 0.485
Zn1 0.500 0.500 0.263
Ag1 0.500 0.500 0.712

## Properties
Spin magnetization (μB per formula unit): 0.02
Formation energy from the elements (kcal/mol of atoms): -7.12
Energy above the lowest structure with this stoichiometry (kJ per mole of atoms): 0.0

No. 24
Below is an optimized crystal structure of Li4DyAg5, with properties calculated at the GGA-PBE level.

Lattice parameters (Å, degrees): 3.266 3.266 16.501 90.00 90.00 90.00
Positions (direct):
Li1 0.000 0.000 0.093
Li2 0.000 0.000 0.278
Li3 0.000 0.000 0.722
Li4 0.000 0.000 0.907
Dy1 0.000 0.000 0.500
Ag1 0.500 0.500 0.000
Ag2 0.500 0.500 0.186
Ag3 0.500 0.500 0.370
Ag4 0.500 0.500 0.630
Ag5 0.500 0.500 0.814

## Properties
Spin magnetization (μB per formula unit): 0.00
Formation energy from the elements (kcal/mol of atoms): -4.90

No. 25
Below is an optimized crystal structure of Li2DyAg2, with properties calculated at the GGA-PBE level.

Lattice parameters (Å, degrees): 3.917 3.917 7.198 105.46 105.46 90.08
Positions (direct):
Li1 0.249 0.751 0.000
Li2 0.751 0.249 0.000
Dy1 0.000 0.000 0.500
Ag1 0.395 0.395 0.287
Ag2 0.605 0.605 0.713

## Properties
Spin magnetization (μB per formula unit): 0.00
Formation energy from the elements (kcal/mol of atoms): -4.33
Energy above the lowest structure with this stoichiometry (kJ per mole of atoms): 0.0

| no. | density of states at the Fermi level (states/eV per atom) |
| --- | --- |
| 1 | 0.520 |
| 2 | 1.061 |
| 3 | 0.567 |
| 4 | 0.926 |
| 5 | 0.776 |
| 6 | 0.837 |
| 7 | 0.488 |
| 8 | 0.867 |
| 9 | 1.421 |
| 10 | 0.897 |
| 11 | 0.752 |
| 12 | 1.230 |
| 13 | 0.016 |
| 14 | 0.950 |
| 15 | 1.465 |
| 16 | 0.789 |
| 17 | 0.992 |
| 18 | 0.133 |
| 19 | 0.007 |
| 20 | 1.236 |
| 21 | 1.486 |
| 22 | 0.725 |
| 23 | 1.000 |
| 24 | 0.409 |
| 25 | 0.456 |